DFT (PBE with a Hubbard U) results for CrFe2O5 after structural relaxation.

The structure in POSCAR format:
```
CrFe2O5
1.0
5.0775 -2.5571 0.0000
5.0775 2.5571 0.0000
-2.6054 0.0000 6.5613
Cr Fe O
2 4 10
Cartesian
0.0000 0.0000 0.0000
-1.3027 0.0000 3.2806
1.7196 0.0392 5.0953
3.0223 -0.0392 1.8146
4.5272 0.0392 4.7467
5.8299 -0.0392 1.4660
1.4589 0.7332 0.9597
4.4261 1.6042 1.6403
2.8147 0.8441 3.6126
0.1562 -0.7332 4.2403
3.4321 0.8441 6.2293
4.1174 -0.8441 0.3320
7.3934 0.7332 2.3210
4.7348 -0.8441 2.9487
3.1234 -1.6042 4.9210
6.0907 -0.7332 5.6016
```

Values from the calculation:
Polymorph energy (0 for the lowest one) (meV/atom): 0
Total DFT energy (no corrections) (eV/atom): -6.9202